Record 1
Material: NbCuNiPd
Method: DFT, PBE
State: relaxed

a = 2.7488 Å, b = 2.7271 Å, c = 8.2553 Å
α = 90.00°, β = 99.58°, γ = 90.00°
Element x y z (fractional)
Cu (0.8750, 0.0000, 0.7499)
Pd (0.2377, 0.0000, 0.4755)
Ni (0.4738, 0.5000, 0.9475)
Nb (0.0830, 0.0000, 0.1659)

Its formation energy is 14.9 kJ/mol of atoms. As for the density of states at the Fermi level: 2.98 states/eV/f.u. Its magnetic moment is 0.0 μB/f.u. As for the symmetry: Amm2. The energy comes out at -6.13 eV per atom.

Record 2
Material: Rb3SrLa2Se6
Method: DFT, PBE
State: relaxed

a = 7.8070 Å, b = 7.8070 Å, c = 8.4127 Å
α = 98.91°, β = 98.91°, γ = 119.98°
Element x y z (fractional)
Sr (0.0000, 0.0000, 0.0000)
Se (0.4129, 0.0681, 0.2042)
Se (0.2766, 0.2766, 0.7965)
Se (0.7234, 0.7234, 0.2035)
Se (0.9319, 0.5871, 0.7958)
Se (0.0681, 0.4129, 0.2042)
Se (0.5871, 0.9319, 0.7958)
Rb (0.8360, 0.1640, 0.5000)
Rb (0.5000, 0.5000, 0.5000)
Rb (0.1640, 0.8360, 0.5000)
La (0.3332, 0.6668, 0.0000)
La (0.6668, 0.3332, 0.0000)

As for the density of states at the Fermi level: 16.44 states/eV/f.u. Its magnetic moment is 0.0 μB/f.u. The formation energy (no corrections) comes out at -1641 meV/atom. As for the symmetry: C2/m. The energy comes out at -4.59 eV per atom.

Record 3
Material: PrS5Cl
Method: DFT, PBE
State: relaxed

a = 4.4210 Å, b = 4.5983 Å, c = 11.6237 Å
α = 112.07°, β = 102.03°, γ = 88.94°
Element x y z (fractional)
S (0.3316, 0.1411, 0.7341)
S (0.9394, 0.2416, 0.1404)
S (0.3550, 0.6457, 0.7914)
S (0.1775, 0.5069, 0.0722)
S (0.2513, 0.9681, 0.2101)
Pr (0.7751, 0.3425, 0.6351)
Cl (0.7008, 0.6848, 0.4783)

As for the density of states at the Fermi level: 0.00 states/eV/f.u. Its magnetic moment is 0.0 μB/f.u. The formation energy (no corrections) comes out at -763 meV/atom. As for the symmetry: P1. The energy comes out at -4.66 eV per atom.

Record 4
Material: RbSn8Au4
Method: DFT, PBE
State: relaxed

a = 6.5633 Å, b = 6.5632 Å, c = 11.7814 Å
α = 73.85°, β = 73.85°, γ = 60.01°
Element x y z (fractional)
Au (0.5000, 0.5000, 0.0000)
Au (0.5000, 0.0000, 0.0000)
Au (0.0000, 0.0000, 0.0000)
Au (0.0000, 0.5000, 0.0000)
Sn (0.2644, 0.7664, 0.2031)
Sn (0.2638, 0.2638, 0.2084)
Sn (0.7664, 0.2644, 0.2031)
Sn (0.2336, 0.7356, 0.7969)
Sn (0.2335, 0.2335, 0.7969)
Sn (0.7362, 0.7362, 0.7916)
Sn (0.7665, 0.7665, 0.2031)
Sn (0.7356, 0.2336, 0.7969)
Rb (0.5000, 0.5000, 0.5000)

Its formation energy is -5.4 kJ/mol of atoms. As for the density of states at the Fermi level: 3.14 states/eV/f.u. Its magnetic moment is 0.0 μB/f.u. As for the symmetry: R-3m. The energy comes out at -3.60 eV per atom.